Below is a relaxed RbTcMo2N crystal, with properties calculated at the PBE-GGA level.

It has space group P4/mmm (No. 123), with a = 4.698 Å, b = 4.698 Å, c = 4.600 Å, α = 90.00°, β = 90.00° and γ = 90.00°. The distinct sites, in fractional coordinates, are Rb at (0.000, 0.000, 0.000), Tc at (0.000, 0.000, 0.500), Mo at (0.000, 0.500, 0.000) and N at (0.500, 0.500, 0.500).

The calculation puts the spin magnetization at 0.10 μB/atom. The calculation puts the total DFT energy (no corrections) at -19.28 eV per cell. The uncorrected formation energy comes out at 4.408 eV per atom.